! GGA-PBE BaYZr, relaxed; values from VASP
&SYSTEM
  ibrav = 0, nat = 3, ntyp = 3
/
ATOMIC_SPECIES
Ba 137.33 Ba.upf
Y 88.91 Y.upf
Zr 91.22 Zr.upf
CELL_PARAMETERS angstrom
6.810 0.032 -0.014
4.208 5.354 0.014
-5.154 -3.419 2.849
ATOMIC_POSITIONS crystal
Ba 0.005 0.005 0.000
Y 0.305 0.305 0.000
Zr 0.690 0.690 0.000
! Calculated formation energy (kJ/mol of formula units): 131
! Calculated total energy (eV per atom): -5.1915
! ΔE to the lowest computed polymorph (eV/atom): 0.1321



! GGA-PBE BaY4Zr, relaxed; values from VASP
&SYSTEM
  ibrav = 0, nat = 6, ntyp = 3
/
ATOMIC_SPECIES
Ba 137.33 Ba.upf
Y 88.91 Y.upf
Zr 91.22 Zr.upf
CELL_PARAMETERS angstrom
0.000 4.723 4.723
4.723 0.000 4.723
4.723 4.723 0.000
ATOMIC_POSITIONS crystal
Ba 0.000 0.000 0.000
Y 0.865 0.378 0.378
Y 0.378 0.378 0.865
Y 0.378 0.865 0.378
Y 0.378 0.378 0.378
Zr 0.750 0.750 0.750
! Calculated formation energy (kJ/mol of formula units): 305
! Calculated total energy (eV per atom): -5.5282



! GGA-PBE BaY3Zr, relaxed; values from VASP
&SYSTEM
  ibrav = 0, nat = 5, ntyp = 3
/
ATOMIC_SPECIES
Y 88.91 Y.upf
Ba 137.33 Ba.upf
Zr 91.22 Zr.upf
CELL_PARAMETERS angstrom
5.596 0.000 0.000
0.000 5.596 0.000
0.000 0.000 5.596
ATOMIC_POSITIONS crystal
Y 0.000 0.500 0.000
Y 0.000 0.000 0.500
Y 0.500 0.000 0.000
Ba 0.000 0.000 0.000
Zr 0.500 0.500 0.500
! Calculated formation energy (kJ/mol of formula units): 609
! Calculated total energy (eV per atom): -4.7101
! ΔE to the lowest computed polymorph (eV/atom): 0.8264



! GGA-PBE BaY2Zr, relaxed; values from VASP
&SYSTEM
  ibrav = 0, nat = 4, ntyp = 3
/
ATOMIC_SPECIES
Ba 137.33 Ba.upf
Y 88.91 Y.upf
Zr 91.22 Zr.upf
CELL_PARAMETERS angstrom
3.656 0.000 0.000
0.000 4.424 0.000
0.000 0.000 8.668
ATOMIC_POSITIONS crystal
Ba 0.500 0.500 0.750
Y 0.000 0.000 0.060
Y 0.000 0.000 0.440
Zr 0.500 0.500 0.250
! Calculated formation energy (kJ/mol of formula units): 96
! Calculated total energy (eV per atom): -5.6023
! ΔE to the lowest computed polymorph (eV/atom): 0.0555



! GGA-PBE BaY2Zr, relaxed; values from VASP
&SYSTEM
  ibrav = 0, nat = 4, ntyp = 3
/
ATOMIC_SPECIES
Ba 137.33 Ba.upf
Y 88.91 Y.upf
Zr 91.22 Zr.upf
CELL_PARAMETERS angstrom
5.737 0.000 0.000
2.869 4.969 0.000
2.869 1.656 4.685
ATOMIC_POSITIONS crystal
Ba 0.500 0.500 0.500
Y 0.000 0.000 0.000
Y 0.250 0.250 0.250
Zr 0.750 0.750 0.750
! Calculated formation energy (kJ/mol of formula units): 188
! Calculated total energy (eV per atom): -5.3628
! ΔE to the lowest computed polymorph (eV/atom): 0.2949



! GGA-PBE BaY2Zr, relaxed; values from VASP
&SYSTEM
  ibrav = 0, nat = 4, ntyp = 3
/
ATOMIC_SPECIES
Ba 137.33 Ba.upf
Y 88.91 Y.upf
Zr 91.22 Zr.upf
CELL_PARAMETERS angstrom
5.969 -0.002 -0.016
4.939 3.352 -0.016
0.885 0.272 6.691
ATOMIC_POSITIONS crystal
Ba 0.750 0.750 0.750
Y 0.988 0.988 0.038
Y 0.512 0.512 0.462
Zr 0.250 0.250 0.250
! Calculated formation energy (kJ/mol of formula units): 129
! Calculated total energy (eV per atom): -5.5164
! ΔE to the lowest computed polymorph (eV/atom): 0.1414



! GGA-PBE BaYZr, relaxed; values from VASP
&SYSTEM
  ibrav = 0, nat = 3, ntyp = 3
/
ATOMIC_SPECIES
Ba 137.33 Ba.upf
Y 88.91 Y.upf
Zr 91.22 Zr.upf
CELL_PARAMETERS angstrom
5.816 0.000 0.000
-2.908 5.037 0.000
0.000 0.000 3.300
ATOMIC_POSITIONS crystal
Ba 0.000 0.000 0.167
Y 0.667 0.333 0.167
Zr 0.333 0.667 0.667
! Calculated formation energy (kJ/mol of formula units): 149
! Calculated total energy (eV per atom): -5.1305
! ΔE to the lowest computed polymorph (eV/atom): 0.1931



! GGA-PBE BaY2Zr, relaxed; values from VASP
&SYSTEM
  ibrav = 0, nat = 4, ntyp = 3
/
ATOMIC_SPECIES
Ba 137.33 Ba.upf
Y 88.91 Y.upf
Zr 91.22 Zr.upf
CELL_PARAMETERS angstrom
-4.939 -0.333 -3.736
4.649 -3.259 -2.497
-1.107 -2.898 1.721
ATOMIC_POSITIONS crystal
Ba 0.000 0.500 0.500
Y 0.000 0.000 0.000
Y 0.500 0.500 0.000
Zr 0.500 0.000 0.500
! Calculated formation energy (kJ/mol of formula units): 150
! Calculated total energy (eV per atom): -5.4612
! ΔE to the lowest computed polymorph (eV/atom): 0.1966



! GGA-PBE Ba4YZr, relaxed; values from VASP
&SYSTEM
  ibrav = 0, nat = 6, ntyp = 3
/
ATOMIC_SPECIES
Ba 137.33 Ba.upf
Y 88.91 Y.upf
Zr 91.22 Zr.upf
CELL_PARAMETERS angstrom
0.000 5.156 5.156
5.156 0.000 5.156
5.156 5.156 0.000
ATOMIC_POSITIONS crystal
Ba 0.877 0.374 0.374
Ba 0.374 0.374 0.877
Ba 0.374 0.877 0.374
Ba 0.374 0.374 0.374
Y 0.750 0.750 0.750
Zr 0.000 0.000 0.000
! Calculated formation energy (kJ/mol of formula units): 460
! Calculated total energy (eV per atom): -2.9894



! GGA-PBE BaY2Zr, relaxed; values from VASP
&SYSTEM
  ibrav = 0, nat = 8, ntyp = 3
/
ATOMIC_SPECIES
Y 88.91 Y.upf
Ba 137.33 Ba.upf
Zr 91.22 Zr.upf
CELL_PARAMETERS angstrom
-4.393 0.768 1.894
1.749 -0.913 4.425
1.221 11.209 4.482
ATOMIC_POSITIONS crystal
Y 0.604 0.125 0.250
Y 0.146 0.625 0.250
Y 0.375 0.396 0.750
Y 0.875 0.854 0.750
Ba 0.000 0.000 0.000
Ba 0.750 0.250 0.500
Zr 0.500 0.500 0.000
Zr 0.250 0.750 0.500
! Calculated formation energy (kJ/mol of formula units): 297
! Calculated total energy (eV per atom): -5.0815
! ΔE to the lowest computed polymorph (eV/atom): 0.5763



! GGA-PBE BaY2Zr, relaxed; values from VASP
&SYSTEM
  ibrav = 0, nat = 4, ntyp = 3
/
ATOMIC_SPECIES
Ba 137.33 Ba.upf
Y 88.91 Y.upf
Zr 91.22 Zr.upf
CELL_PARAMETERS angstrom
6.087 -0.005 -0.006
5.086 3.345 -0.006
0.767 0.229 6.622
ATOMIC_POSITIONS crystal
Ba 0.755 0.755 0.746
Y 0.996 0.996 0.033
Y 0.243 0.243 0.271
Zr 0.506 0.506 0.450
! Calculated formation energy (kJ/mol of formula units): 134
! Calculated total energy (eV per atom): -5.5019
! ΔE to the lowest computed polymorph (eV/atom): 0.1559



! GGA-PBE BaYZr4, relaxed; values from VASP
&SYSTEM
  ibrav = 0, nat = 6, ntyp = 3
/
ATOMIC_SPECIES
Ba 137.33 Ba.upf
Y 88.91 Y.upf
Zr 91.22 Zr.upf
CELL_PARAMETERS angstrom
0.000 4.422 4.422
4.422 0.000 4.422
4.422 4.422 0.000
ATOMIC_POSITIONS crystal
Ba 0.750 0.750 0.750
Y 0.000 0.000 0.000
Zr 0.888 0.371 0.371
Zr 0.371 0.371 0.888
Zr 0.371 0.888 0.371
Zr 0.371 0.371 0.371
! Calculated formation energy (kJ/mol of formula units): 260
! Calculated total energy (eV per atom): -6.6478



Which of these has the highest calculated formation energy?
BaY3Zr